1.
EuScAl2: relaxed, PBE.

The space group is R-3m (No. 166, hexagonal axes) and the conventional cell measures 3.3758, 3.3758 and 29.0681 Å, with angles of 90.00, 90.00 and 120.00 degrees. The asymmetric unit holds Eu at (0.0000, 0.0000, 0.0000), Sc at (0.0000, 0.0000, 0.5000) and Al at (0.0000, 0.0000, 0.2437).

Its energy above the most stable polymorph in this dataset is 6.55 kcal/mol of atoms. For the total energy, the calculation gives -73.0 eV for the cell shown. The density of states at the Fermi level is 11.17 states/eV per cell.

2.
PrMgPb: relaxed, PBE.

The space group is I4mm (No. 107) and the conventional cell measures 3.667, 3.667 and 12.853 Å, with angles of 90.00, 90.00 and 90.00 degrees. The asymmetric unit holds Pr at (0.000, 0.000, 0.000), Mg at (0.000, 0.000, 0.677) and Pb at (0.000, 0.000, 0.317).

For the total energy, the calculation gives -21.6 eV for the cell shown. The density of states at the Fermi level is 5.16 states/eV per cell.

3.
TlIn5Cl6: relaxed, PBE.

The space group is C2/m (No. 12) and the conventional cell measures 7.898, 13.699 and 7.920 Å, with angles of 90.00, 109.52 and 90.00 degrees. The asymmetric unit holds Tl at (0.000, 0.000, 0.000), In at (0.000, 0.166, 0.500), In at (0.000, 0.333, 0.000), In at (0.000, 0.500, 0.500), Cl at (0.246, 0.500, 0.248) and Cl at (0.248, 0.332, 0.748).

For the total energy, the calculation gives -74.2 eV for the cell shown. The density of states at the Fermi level is 0.00 states/eV per cell. Its formation energy without anion corrections is -0.829 eV per atom.

4.
Pm3Pr2Sb3: relaxed, PBE.

The space group is P6_3/mcm (No. 193) and the conventional cell measures 9.3424, 9.3424 and 6.5119 Å, with angles of 90.00, 90.00 and 120.00 degrees. The asymmetric unit holds Pm at (0.0000, 0.2499, 0.2500), Pr at (0.3333, 0.6667, 0.0000) and Sb at (0.0000, 0.3837, 0.7500).

For the total energy, the calculation gives -87.8 eV for the cell shown. The density of states at the Fermi level is 17.47 states/eV per cell. Its formation energy without anion corrections is -0.964 eV per atom.

5.
Zn2WSe: relaxed, PBE.

The space group is Imm2 (No. 44) and the conventional cell measures 2.993, 4.412 and 11.969 Å, with angles of 90.00, 90.00 and 90.00 degrees. The asymmetric unit holds Zn at (0.000, 0.000, 0.000), Zn at (0.000, 0.500, 0.140), W at (0.000, 0.000, 0.453) and Se at (0.000, 0.500, 0.790).

For the total energy, the calculation gives -35.9 eV for the cell shown. The density of states at the Fermi level is 3.07 states/eV per cell. Its formation energy without anion corrections is 0.258 eV per atom.

6.
ZrIn3: relaxed, PBE.

The space group is P-6m2 (No. 187) and the conventional cell measures 3.3376, 3.3376 and 10.2581 Å, with angles of 90.00, 90.00 and 120.00 degrees. The asymmetric unit holds Zr at (0.0000, 0.0000, 0.0000), In at (0.0000, 0.0000, 0.5000) and In at (0.3333, 0.6667, 0.2382).

For the total energy, the calculation gives -16.8 eV for the cell shown. The density of states at the Fermi level is 3.31 states/eV per cell.

7.
Dy4GaGeTe2: relaxed, PBE.

The space group is P2/m (No. 10) and the conventional cell measures 7.206, 4.209 and 7.663 Å, with angles of 90.00, 108.60 and 90.00 degrees. The asymmetric unit holds Dy at (0.239, 0.000, 0.225), Dy at (0.255, 0.500, 0.770), Ga at (0.500, 0.000, 0.000), Ge at (0.000, 0.500, 0.000), Te at (0.000, 0.000, 0.500) and Te at (0.500, 0.500, 0.500).

For the total energy, the calculation gives -40.6 eV for the cell shown. The density of states at the Fermi level is 4.32 states/eV per cell. Its formation energy without anion corrections is -1.039 eV per atom.

8.
CaVRe2: relaxed, PBE.

The space group is I-42d (No. 122) and the conventional cell measures 4.811, 4.811 and 16.726 Å, with angles of 90.00, 90.00 and 90.00 degrees. The asymmetric unit holds Ca at (0.000, 0.000, 0.000), V at (0.000, 0.000, 0.500) and Re at (0.038, 0.250, 0.625).

Its energy above the most stable polymorph in this dataset is 9.48 kcal/mol of atoms. For the total energy, the calculation gives -126.3 eV for the cell shown. The density of states at the Fermi level is 16.54 states/eV per cell.

9.
GaCu3Ni: relaxed, PBE.

The space group is Pm-3m (No. 221) and the conventional cell measures 4.400, 4.400 and 4.400 Å, with angles of 90.00, 90.00 and 90.00 degrees. The asymmetric unit holds Ga at (0.000, 0.000, 0.000), Cu at (0.000, 0.500, 0.500) and Ni at (0.500, 0.500, 0.500).

Its energy above the most stable polymorph in this dataset is 18.71 kcal/mol of atoms. For the total energy, the calculation gives -17.4 eV for the cell shown. The density of states at the Fermi level is 3.54 states/eV per cell.

Repeat the seventh record exactly.
Dy4GaGeTe2: relaxed, PBE.

The space group is P2/m (No. 10) and the conventional cell measures 7.206, 4.209 and 7.663 Å, with angles of 90.00, 108.60 and 90.00 degrees. The asymmetric unit holds Dy at (0.239, 0.000, 0.225), Dy at (0.255, 0.500, 0.770), Ga at (0.500, 0.000, 0.000), Ge at (0.000, 0.500, 0.000), Te at (0.000, 0.000, 0.500) and Te at (0.500, 0.500, 0.500).

For the total energy, the calculation gives -40.6 eV for the cell shown. The density of states at the Fermi level is 4.32 states/eV per cell. Its formation energy without anion corrections is -1.039 eV per atom.

> Look up the total energy of the ninth one.

-17.4 eV for the cell shown